1.
VASP calculation (PBE) on a relaxed structure of Nd3TlCu.

```
20
Lattice="6.8977 0.1510 -0.5212 3.5096 5.9400 -0.5212 2.5099 1.4689 14.1755" Properties=species:S:1:pos:R:3 pbc="T T T"
Nd 10.3009 6.8571 10.6423
Nd 3.1489 2.6713 9.5785
Nd 2.6162 0.7028 2.4908
Nd 9.7682 4.8886 3.5546
Nd 8.2761 5.6588 7.7551
Nd 5.1853 3.8499 12.4658
Nd 4.6410 1.9011 5.3780
Nd 7.7318 3.7101 0.6673
Nd 6.9788 6.7122 12.2115
Nd 4.9022 5.4968 8.0094
Nd 8.0149 2.0632 5.1237
Nd 5.9383 0.8478 0.9217
Tl 8.7091 3.8369 11.9489
Tl 6.5617 2.5801 8.2720
Tl 4.2080 3.7230 1.1842
Tl 6.3554 4.9798 4.8611
Cu 3.0097 3.7045 6.8272
Cu 3.4488 0.0755 -0.2606
Cu 6.1367 2.8906 3.0227
Cu 6.7805 4.6693 10.1104
```

Properties
- DOS(E_F) (states/eV/atom) = 1.1937
- formation enthalpy at 0 K (eV/atom) = -0.10
- theoretical density (kg/m3) = 7976



2.
VASP calculation (PBE) on a relaxed structure of NaPtPbO4.

```
14
Lattice="6.4043 0.0000 0.0000 -3.2022 5.9598 -0.5073 0.0000 -3.6680 6.0321" Properties=species:S:1:pos:R:3 pbc="T T T"
Na 3.2022 4.1068 0.4316
Na 0.0000 -1.8150 5.0932
Pt 1.6011 1.1459 2.7624
Pt -1.6011 1.1459 2.7624
Pb 3.2022 -1.8340 3.0160
Pb 3.2022 0.0000 0.0000
O 3.2022 0.4699 3.8985
O 1.6918 -0.5946 1.7041
O 4.7125 -0.5946 1.7041
O 3.2022 1.8436 1.6395
O 0.0000 0.4482 3.8853
O 1.5104 2.8864 3.8208
O -1.5104 2.8864 3.8208
O 0.0000 1.8219 1.6263
```

Properties
- formation energy (no corrections) (eV/atom) = -0.917
- DOS(E_F) (states/eV/atom) = 0.3682
- theoretical density (kg/m3) = 7443



3.
VASP calculation (PBE) on a relaxed structure of K3NiAu.

```
5
Lattice="5.9512 0.0000 0.0000 0.0000 5.9512 0.0000 0.0000 0.0000 5.9512" Properties=species:S:1:pos:R:3 pbc="T T T"
Ni 0.0000 0.0000 0.0000
K 0.0000 2.9756 0.0000
K 0.0000 0.0000 2.9756
K 2.9756 0.0000 0.0000
Au 2.9756 2.9756 2.9756
```

Properties
- DOS(E_F) (states/eV/atom) = 0.7282
- formation enthalpy at 0 K (eV/atom) = 0.39
- excess energy over the best structure of this formula in the dataset (meV per atom) = 0.0
- theoretical density (kg/m3) = 2938



4.
VASP calculation (PBE) on a relaxed structure of TlVPS2.

```
5
Lattice="5.0478 0.0000 0.0000 0.0000 5.0478 0.0000 0.0000 0.0000 5.0002" Properties=species:S:1:pos:R:3 pbc="T T T"
P 0.0000 0.0000 2.5001
Tl 0.0000 0.0000 0.0000
S 0.0000 2.5239 0.0000
S 2.5239 0.0000 0.0000
V 2.5239 2.5239 2.5001
```

Properties
- formation energy (no corrections) (eV/atom) = 1.468
- DOS(E_F) (states/eV/atom) = 2.0486
- excess energy over the best structure of this formula in the dataset (meV per atom) = 1605.2
- theoretical density (kg/m3) = 4567



5.
VASP calculation (PBE) on a relaxed structure of KBaNa2In.

```
5
Lattice="6.2950 0.0000 0.0000 0.0000 6.2950 0.0000 0.0000 0.0000 6.6078" Properties=species:S:1:pos:R:3 pbc="T T T"
Na 0.0000 3.1475 0.0000
Na 3.1475 0.0000 0.0000
K 3.1475 3.1475 3.3039
Ba 0.0000 0.0000 3.3039
In 0.0000 0.0000 0.0000
```

Properties
- DOS(E_F) (states/eV/atom) = 1.0499
- formation enthalpy at 0 K (eV/atom) = 0.04
- theoretical density (kg/m3) = 2139



6.
VASP calculation (PBE) on a relaxed structure of PmPaTeP.

```
4
Lattice="-1.0936 -0.5745 -3.8835 -1.1558 -2.6655 2.8582 -5.1121 5.2242 2.8047" Properties=species:S:1:pos:R:3 pbc="T T T"
Pm -4.0812 2.7660 0.3362
Pa -1.6090 -2.2028 2.5135
Te -3.3227 0.3054 -1.6515
P -5.4570 2.9293 2.8378
```

Properties
- formation energy (no corrections) (eV/atom) = -1.244
- DOS(E_F) (states/eV/atom) = 1.2514
- theoretical density (kg/m3) = 8265



7.
VASP calculation (PBE) on a relaxed structure of YFe12.

```
13
Lattice="-4.2231 4.2231 2.3412 4.2231 -4.2231 2.3412 4.2231 4.2231 -2.3412" Properties=species:S:1:pos:R:3 pbc="T T T"
Y 0.0000 0.0000 0.0000
Fe 3.0271 0.0000 0.0000
Fe 5.4192 0.0000 0.0000
Fe 0.0000 3.0271 0.0000
Fe 0.0000 5.4192 0.0000
Fe 4.2231 2.3025 0.0000
Fe 0.0000 1.9206 2.3412
Fe 1.9206 0.0000 2.3412
Fe 2.3025 4.2231 0.0000
Fe 2.1116 -2.1116 1.1706
Fe -2.1116 2.1116 1.1706
Fe 2.1116 2.1116 1.1706
Fe 2.1116 2.1116 -1.1706
```

Properties
- DOS(E_F) (states/eV/atom) = 0.8561
- formation enthalpy at 0 K (eV/atom) = 0.00
- theoretical density (kg/m3) = 7547



8.
VASP calculation (PBE) on a relaxed structure of BiAuO4.

```
12
Lattice="5.0716 0.0000 0.0000 0.0000 5.5329 0.0000 0.0000 0.0000 5.9876" Properties=species:S:1:pos:R:3 pbc="T T T"
Bi 0.0000 2.7665 1.0398
Bi 2.5358 2.7665 4.0336
Au 0.0000 0.0000 5.0962
Au 2.5358 0.0000 2.1024
O 1.2406 4.6181 0.6082
O 1.0363 1.7553 5.3053
O 1.4996 1.7553 2.3115
O 1.2952 4.6181 3.6020
O 3.5721 3.7776 2.3115
O 3.7764 0.9149 3.6020
O 3.8310 0.9149 0.6082
O 4.0354 3.7776 5.3053
```

Properties
- formation energy (no corrections) (eV/atom) = -0.385
- DOS(E_F) (states/eV/atom) = 0.1651
- excess energy over the best structure of this formula in the dataset (meV per atom) = 38.1
- theoretical density (kg/m3) = 9289



9.
VASP calculation (PBE) on a relaxed structure of TbMgAlSe4.

```
14
Lattice="7.9782 0.0000 0.0000 3.9891 6.8945 0.1163 3.9891 2.2112 6.5313" Properties=species:S:1:pos:R:3 pbc="T T T"
Tb 0.0000 0.0000 0.0000
Tb 3.9891 4.5528 3.3238
Mg 5.9837 1.1056 3.2657
Mg 1.9946 1.1056 3.2657
Al 7.9782 4.5298 0.8485
Al 7.9782 4.5759 5.7992
Se 11.9674 6.9067 4.9447
Se 7.9782 6.8448 4.8995
Se 7.9782 2.2609 1.7482
Se 3.9891 2.1990 1.7030
Se 6.0357 5.7438 1.7348
Se 9.9207 5.7438 1.7348
Se 6.0357 3.3619 4.9129
Se 9.9208 3.3619 4.9129
```

Properties
- formation energy (no corrections) (eV/atom) = -1.273
- theoretical density (kg/m3) = 4891



10.
VASP calculation (PBE) on a relaxed structure of TlNi2Se.

```
4
Lattice="-3.8460 1.8450 -1.6974 -3.4561 -2.7145 -1.3282 -3.8834 -0.1341 2.4449" Properties=species:S:1:pos:R:3 pbc="T T T"
Ni 0.0000 0.0000 0.0000
Ni -2.7964 -0.2509 -0.1451
Se -5.5928 -0.5018 -0.2903
Tl -8.3891 -0.7527 -0.4354
```

Properties
- formation energy (no corrections) (eV/atom) = 0.570
- DOS(E_F) (states/eV/atom) = 1.3807
- excess energy over the best structure of this formula in the dataset (meV per atom) = 548.9
- theoretical density (kg/m3) = 9725



11.
VASP calculation (PBE) on a relaxed structure of BeCoRe2.

```
4
Lattice="-2.0476 -1.7512 0.4092 -0.1093 -0.4977 -2.6772 4.2654 -4.8186 0.7217" Properties=species:S:1:pos:R:3 pbc="T T T"
Re 4.1565 -4.6956 0.7033
Re 0.1240 -2.4829 -0.9306
Co 1.9657 -4.5634 -0.6189
Be 2.2604 -2.5536 0.3825
```

Properties
- DOS(E_F) (states/eV/atom) = 0.9806
- formation enthalpy at 0 K (eV/atom) = -0.03
- theoretical density (kg/m3) = 15204



12.
VASP calculation (PBE) on a relaxed structure of Cd3InBi.

```
5
Lattice="5.7838 0.0000 0.0000 0.0000 5.7838 0.0000 0.0000 0.0000 5.7838" Properties=species:S:1:pos:R:3 pbc="T T T"
Cd 0.0000 2.8919 0.0000
Cd 0.0000 0.0000 2.8919
Cd 2.8919 0.0000 0.0000
Bi 0.0000 0.0000 0.0000
In 2.8919 2.8919 2.8919
```

Properties
- DOS(E_F) (states/eV/atom) = 0.4889
- formation enthalpy at 0 K (eV/atom) = 0.43
- excess energy over the best structure of this formula in the dataset (meV per atom) = 384.1
- theoretical density (kg/m3) = 5673



> Among the records above, which one has the lowest theoretical density?

KBaNa2In



What did the tenth record say?
VASP calculation (PBE) on a relaxed structure of TlNi2Se.

```
4
Lattice="-3.8460 1.8450 -1.6974 -3.4561 -2.7145 -1.3282 -3.8834 -0.1341 2.4449" Properties=species:S:1:pos:R:3 pbc="T T T"
Ni 0.0000 0.0000 0.0000
Ni -2.7964 -0.2509 -0.1451
Se -5.5928 -0.5018 -0.2903
Tl -8.3891 -0.7527 -0.4354
```

Properties
- formation energy (no corrections) (eV/atom) = 0.570
- DOS(E_F) (states/eV/atom) = 1.3807
- excess energy over the best structure of this formula in the dataset (meV per atom) = 548.9
- theoretical density (kg/m3) = 9725



> Which formula does entry 5 have?

KBaNa2In



> Look up the theoretical density of the ninth one.

4891 kg/m3